{
  "formula": "Pm7Pr2Dy",
  "functional": "GGA-PBE",
  "state": "optimized geometry",
  "cell": [[3.371, -14.739, 0.000], [3.371, 14.739, 0.000], [0.000, 0.000, 3.499]],
  "species": ["Pm", "Pm", "Pm", "Pm", "Pm", "Pm", "Pm", "Pr", "Pr", "Dy"],
  "fractional_positions": [[0.000, 0.000, 0.000], [0.158, 0.354, 0.000], [0.312, 0.688, 0.500], [0.354, 0.158, 0.000], [0.646, 0.842, 0.000], [0.688, 0.312, 0.500], [0.842, 0.646, 0.000], [0.204, 0.796, 0.000], [0.796, 0.204, 0.000], [0.500, 0.500, 0.500]],
  "formation_enthalpy_0k_mev_per_atom": 147,
  "dft_energy_ev_per_cell": -45.95,
  "relative_energy_mev_per_atom": 0.0
}



{
  "formula": "PmPr7Dy3",
  "functional": "GGA-PBE",
  "state": "optimized geometry",
  "cell": [[-2.992, 5.715, 5.765], [2.992, -5.715, 5.765], [2.992, 5.715, -5.765]],
  "species": ["Pm", "Pr", "Pr", "Pr", "Pr", "Pr", "Pr", "Pr", "Dy", "Dy", "Dy"],
  "fractional_positions": [[0.000, 0.000, 0.000], [0.000, 0.500, 0.500], [0.097, 0.292, 0.805], [0.291, 0.000, 0.291], [0.487, 0.292, 0.195], [0.513, 0.708, 0.805], [0.709, 0.000, 0.709], [0.903, 0.708, 0.195], [0.297, 0.797, 0.500], [0.500, 0.500, 0.000], [0.703, 0.203, 0.500]],
  "formation_enthalpy_0k_mev_per_atom": 213,
  "dft_energy_ev_per_cell": -49.67,
  "relative_energy_mev_per_atom": 0.0
}



{
  "formula": "Pm2Pr3Dy",
  "functional": "GGA-PBE",
  "state": "optimized geometry",
  "cell": [[8.597, 0.000, 0.000], [0.000, 3.751, 0.000], [-0.004, 0.000, 13.087]],
  "species": ["Pm", "Pm", "Pm", "Pm", "Pr", "Pr", "Pr", "Pr", "Pr", "Pr", "Dy", "Dy"],
  "fractional_positions": [[0.084, 0.250, 0.391], [0.350, 0.750, 0.947], [0.650, 0.250, 0.053], [0.916, 0.750, 0.609], [0.087, 0.250, 0.110], [0.347, 0.750, 0.556], [0.396, 0.750, 0.249], [0.604, 0.250, 0.751], [0.653, 0.250, 0.444], [0.913, 0.750, 0.890], [0.190, 0.250, 0.752], [0.810, 0.750, 0.248]],
  "formation_enthalpy_0k_mev_per_atom": 51,
  "dft_energy_ev_per_cell": -56.28,
  "relative_energy_mev_per_atom": 0.0
}



{
  "formula": "PmPr2Dy2",
  "functional": "GGA-PBE",
  "state": "optimized geometry",
  "cell": [[5.730, 0.000, 0.000], [-2.865, 4.963, 0.000], [0.000, 0.000, 12.199]],
  "species": ["Pm", "Pm", "Pr", "Pr", "Pr", "Pr", "Dy", "Dy", "Dy", "Dy"],
  "fractional_positions": [[0.000, 0.000, 0.250], [0.000, 0.000, 0.750], [0.333, 0.667, 0.101], [0.333, 0.667, 0.399], [0.667, 0.333, 0.601], [0.667, 0.333, 0.899], [0.000, 0.000, 0.000], [0.000, 0.000, 0.500], [0.333, 0.667, 0.750], [0.667, 0.333, 0.250]],
  "formation_enthalpy_0k_mev_per_atom": 215,
  "dft_energy_ev_per_cell": -44.88,
  "relative_energy_mev_per_atom": 154.9
}



{
  "formula": "Pm3Pr8Dy2",
  "functional": "GGA-PBE",
  "state": "optimized geometry",
  "cell": [[10.333, -3.887, 0.000], [10.333, 3.887, 0.000], [-0.004, 0.000, 5.858]],
  "species": ["Pm", "Pm", "Pm", "Pr", "Pr", "Pr", "Pr", "Pr", "Pr", "Pr", "Pr", "Dy", "Dy"],
  "fractional_positions": [[0.000, 0.000, 0.000], [0.286, 0.714, 0.500], [0.714, 0.286, 0.500], [0.134, 0.134, 0.499], [0.186, 0.600, 0.000], [0.325, 0.325, 0.499], [0.400, 0.814, 0.000], [0.600, 0.186, 0.000], [0.675, 0.675, 0.501], [0.814, 0.400, 0.000], [0.866, 0.866, 0.501], [0.241, 0.241, 0.998], [0.759, 0.759, 0.002]],
  "formation_enthalpy_0k_mev_per_atom": 203,
  "dft_energy_ev_per_cell": -59.05,
  "relative_energy_mev_per_atom": 51.5
}



{
  "formula": "Pm3Pr2Dy3",
  "functional": "GGA-PBE",
  "state": "optimized geometry",
  "cell": [[-2.564, 2.566, 10.237], [2.564, -2.566, 10.237], [2.564, 2.566, -10.237]],
  "species": ["Pm", "Pm", "Pm", "Pr", "Pr", "Dy", "Dy", "Dy"],
  "fractional_positions": [[0.000, 0.000, 0.000], [0.377, 0.877, 0.500], [0.623, 0.123, 0.500], [0.250, 0.250, 0.000], [0.750, 0.750, 0.000], [0.123, 0.623, 0.500], [0.500, 0.500, 0.000], [0.877, 0.377, 0.500]],
  "formation_enthalpy_0k_mev_per_atom": 18,
  "dft_energy_ev_per_cell": -37.47,
  "relative_energy_mev_per_atom": 0.0
}



{
  "formula": "PmPr2Dy",
  "functional": "GGA-PBE",
  "state": "optimized geometry",
  "cell": [[6.027, -1.834, 0.000], [6.027, 1.834, 0.000], [-1.114, 0.000, 6.237]],
  "species": ["Pm", "Pr", "Pr", "Dy"],
  "fractional_positions": [[0.000, 0.000, 0.000], [0.249, 0.249, 0.749], [0.751, 0.751, 0.251], [0.500, 0.500, 0.500]],
  "formation_enthalpy_0k_mev_per_atom": 15,
  "dft_energy_ev_per_cell": -18.85,
  "relative_energy_mev_per_atom": 2.1
}



{
  "formula": "Pm4PrDy",
  "functional": "GGA-PBE",
  "state": "optimized geometry",
  "cell": [[0.000, 4.734, 4.734], [4.734, 0.000, 4.734], [4.734, 4.734, 0.000]],
  "species": ["Pm", "Pm", "Pm", "Pm", "Pr", "Dy"],
  "fractional_positions": [[0.376, 0.376, 0.376], [0.376, 0.376, 0.873], [0.376, 0.873, 0.376], [0.873, 0.376, 0.376], [0.000, 0.000, 0.000], [0.750, 0.750, 0.750]],
  "formation_enthalpy_0k_mev_per_atom": 256,
  "dft_energy_ev_per_cell": -26.85,
  "relative_energy_mev_per_atom": 240.5
}



{
  "formula": "PmPr3Dy3",
  "functional": "GGA-PBE",
  "state": "optimized geometry",
  "cell": [[4.395, 2.537, 7.410], [-4.395, 2.537, 7.410], [0.000, -5.075, 7.410]],
  "species": ["Pm", "Pm", "Pr", "Pr", "Pr", "Pr", "Pr", "Pr", "Dy", "Dy", "Dy", "Dy", "Dy", "Dy"],
  "fractional_positions": [[0.156, 0.156, 0.156], [0.844, 0.844, 0.844], [0.065, 0.218, 0.571], [0.218, 0.571, 0.065], [0.429, 0.935, 0.782], [0.571, 0.065, 0.218], [0.782, 0.429, 0.935], [0.935, 0.782, 0.429], [0.215, 0.437, 0.674], [0.326, 0.785, 0.563], [0.437, 0.674, 0.215], [0.563, 0.326, 0.785], [0.674, 0.215, 0.437], [0.785, 0.563, 0.326]],
  "formation_enthalpy_0k_mev_per_atom": 194,
  "dft_energy_ev_per_cell": -63.08,
  "relative_energy_mev_per_atom": 165.3
}



{
  "formula": "PmPr4Dy10",
  "functional": "GGA-PBE",
  "state": "optimized geometry",
  "cell": [[-4.877, 4.877, 5.353], [4.877, -4.877, 5.353], [4.877, 4.877, -5.353]],
  "species": ["Pm", "Pr", "Pr", "Pr", "Pr", "Dy", "Dy", "Dy", "Dy", "Dy", "Dy", "Dy", "Dy", "Dy", "Dy"],
  "fractional_positions": [[0.000, 0.000, 0.000], [0.065, 0.333, 0.398], [0.333, 0.935, 0.268], [0.667, 0.065, 0.732], [0.935, 0.667, 0.602], [0.131, 0.455, 0.905], [0.226, 0.131, 0.676], [0.250, 0.750, 0.500], [0.450, 0.774, 0.905], [0.455, 0.550, 0.324], [0.545, 0.450, 0.676], [0.550, 0.226, 0.095], [0.750, 0.250, 0.500], [0.774, 0.869, 0.324], [0.869, 0.545, 0.095]],
  "formation_enthalpy_0k_mev_per_atom": 342,
  "dft_energy_ev_per_cell": -64.76
}



{
  "formula": "Pm4Pr3Dy",
  "functional": "GGA-PBE",
  "state": "optimized geometry",
  "cell": [[12.828, -1.754, 0.000], [12.828, 1.754, 0.000], [-0.573, 0.000, 6.275]],
  "species": ["Pm", "Pm", "Pm", "Pm", "Pr", "Pr", "Pr", "Dy"],
  "fractional_positions": [[0.106, 0.106, 0.243], [0.278, 0.278, 0.763], [0.722, 0.722, 0.237], [0.894, 0.894, 0.757], [0.000, 0.000, 0.500], [0.144, 0.144, 0.757], [0.856, 0.856, 0.243], [0.500, 0.500, 0.000]],
  "formation_enthalpy_0k_mev_per_atom": 205,
  "dft_energy_ev_per_cell": -36.30,
  "relative_energy_mev_per_atom": 172.5
}



{
  "formula": "Pm15PrDy4",
  "functional": "GGA-PBE",
  "state": "optimized geometry",
  "cell": [[5.140, 0.000, 0.000], [0.000, 5.140, 0.000], [0.000, 0.000, 25.639]],
  "species": ["Pm", "Pm", "Pm", "Pm", "Pm", "Pm", "Pm", "Pm", "Pm", "Pm", "Pm", "Pm", "Pm", "Pm", "Pm", "Pr", "Dy", "Dy", "Dy", "Dy"],
  "fractional_positions": [[0.000, 0.000, 0.000], [0.000, 0.000, 0.202], [0.000, 0.000, 0.401], [0.000, 0.000, 0.599], [0.000, 0.000, 0.798], [0.000, 0.500, 0.102], [0.000, 0.500, 0.301], [0.000, 0.500, 0.500], [0.000, 0.500, 0.699], [0.000, 0.500, 0.898], [0.500, 0.000, 0.102], [0.500, 0.000, 0.301], [0.500, 0.000, 0.500], [0.500, 0.000, 0.699], [0.500, 0.000, 0.898], [0.500, 0.500, 0.000], [0.500, 0.500, 0.201], [0.500, 0.500, 0.401], [0.500, 0.500, 0.599], [0.500, 0.500, 0.799]],
  "formation_enthalpy_0k_mev_per_atom": 15,
  "dft_energy_ev_per_cell": -94.15
}